TiPHS2 | GGA-PBE | optimized geometry

Symmetry: No. 123
Calculated total energy in eV for the cell shown: -24.0

Cell lengths 4.4962, 4.4962, 3.1808 Å; angles 90.00, 90.00, 90.00 degrees
With the nearest neighbours (Å) after each atom.
Positions (direct):
1 Ti 0.0000 0.0000 0.0000  8 S 2.75
2 P 0.5000 0.5000 0.0000  2 H 1.59
3 H 0.5000 0.5000 0.5000  2 P 1.59
4 S 0.0000 0.5000 0.5000  2 H 2.25
5 S 0.5000 0.0000 0.5000  2 H 2.25



Rb2Sr2Ag | GGA-PBE | optimized geometry

Symmetry: No. 127
Calculated total energy in eV for the cell shown: -15.3

Cell lengths 8.6854, 8.6854, 7.7214 Å; angles 90.00, 90.00, 90.00 degrees
With the nearest neighbours (Å) after each atom.
Positions (direct):
1 Rb 0.1767 0.3233 0.0000  2 Sr 4.28, 5 Rb 4.34-4.53
2 Rb 0.3233 0.8233 0.0000  2 Sr 4.28, 5 Rb 4.34-4.53
3 Rb 0.6767 0.1767 0.0000  2 Sr 4.28, 5 Rb 4.34-4.53
4 Rb 0.8233 0.6767 0.0000  2 Sr 4.28, 5 Rb 4.34-4.53
5 Sr 0.1724 0.6724 0.5000  2 Ag 3.22
6 Sr 0.3276 0.1724 0.5000  2 Ag 3.22
7 Sr 0.6724 0.8276 0.5000  2 Ag 3.22
8 Sr 0.8276 0.3276 0.5000  2 Ag 3.22
9 Ag 0.0000 0.0000 0.5000  4 Sr 3.22
10 Ag 0.5000 0.5000 0.5000  4 Sr 3.22



Hf2Ni2Pb | GGA-PBE | optimized geometry

Symmetry: No. 139
Calculated total energy in eV for the cell shown: -35.7

Cell lengths 8.6506, 8.6506, 8.6506 Å; angles 157.35, 157.35, 32.25 degrees
With the nearest neighbours (Å) after each atom.
Positions (direct):
1 Hf 0.1319 0.1319 0.0000  4 Ni 2.60
2 Hf 0.8681 0.8681 0.0000  4 Ni 2.60
3 Ni 0.2500 0.7500 0.5000  4 Ni 2.40, 4 Hf 2.60
4 Ni 0.7500 0.2500 0.5000  4 Ni 2.40, 4 Hf 2.60
5 Pb 0.5000 0.5000 0.0000  8 Hf 3.25, 4 Pb 3.40



Ac2TeRh | GGA-PBE | optimized geometry

Symmetry: No. 123
E_form (uncorrected) in eV per atom: -0.9125
Calculated total energy in eV for the cell shown: -22.4

Cell lengths 3.8591, 3.8591, 8.0599 Å; angles 90.00, 90.00, 90.00 degrees
With the nearest neighbours (Å) after each atom.
Positions (direct):
1 Ac 0.0000 0.0000 0.2225  4 Rh 3.27, 4 Te 3.53, 1 Ac 3.59
2 Ac 0.0000 0.0000 0.7775  4 Rh 3.27, 4 Te 3.53, 1 Ac 3.59
3 Te 0.5000 0.5000 0.5000  8 Ac 3.53, 4 Te 3.86
4 Rh 0.5000 0.5000 0.0000  8 Ac 3.27